# NaLi2CeCl6

Crystalline NaLi2CeCl6 at its relaxed geometry (GGA-PBE, Alexandria).

a = 7.291 Å, b = 7.291 Å, c = 7.291 Å
α = 55.60°, β = 55.60°, γ = 55.60°
Atoms (fractional coordinates):
Na  0.000  0.000  0.000
Li  0.293  0.293  0.293
Li  0.795  0.795  0.795
Ce  0.495  0.495  0.495
Cl  0.071  0.678  0.433
Cl  0.189  0.568  0.922
Cl  0.433  0.071  0.678
Cl  0.568  0.922  0.189
Cl  0.678  0.433  0.071
Cl  0.922  0.189  0.568

Summary:
**Density of states at the Fermi level**: 8.4 states/eV per cell
**VASP energy**: -4.164 eV per atom
**ΔE_f (raw)**: -1948 meV per atom

***

# LiCeClO2

Crystalline LiCeClO2 at its relaxed geometry (GGA-PBE, Alexandria).

a = 6.204 Å, b = 6.204 Å, c = 6.481 Å
α = 90.00°, β = 90.00°, γ = 145.21°
Atoms (fractional coordinates):
Li  0.000  0.000  0.000
Li  0.000  0.000  0.500
Ce  0.281  0.719  0.750
Ce  0.719  0.281  0.250
Cl  0.469  0.531  0.250
Cl  0.531  0.469  0.750
O  0.173  0.827  0.046
O  0.173  0.827  0.454
O  0.827  0.173  0.546
O  0.827  0.173  0.954

Summary:
**VASP energy**: -6.587 eV per atom
**ΔE_f (raw)**: -2665 meV per atom

***

# LiCePuCl6

Crystalline LiCePuCl6 at its relaxed geometry (GGA-PBE, Alexandria).

a = 6.854 Å, b = 6.854 Å, c = 12.502 Å
α = 90.00°, β = 90.00°, γ = 120.00°
Atoms (fractional coordinates):
Li  0.333  0.667  0.250
Li  0.667  0.333  0.750
Ce  0.000  0.000  0.000
Ce  0.000  0.000  0.500
Pu  0.333  0.667  0.750
Pu  0.667  0.333  0.250
Cl  0.021  0.349  0.129
Cl  0.021  0.672  0.371
Cl  0.328  0.349  0.371
Cl  0.328  0.979  0.129
Cl  0.349  0.021  0.629
Cl  0.349  0.328  0.871
Cl  0.651  0.672  0.129
Cl  0.651  0.979  0.371
Cl  0.672  0.021  0.871
Cl  0.672  0.651  0.629
Cl  0.979  0.328  0.629
Cl  0.979  0.651  0.871

Summary:
**Density of states at the Fermi level**: 43.1 states/eV per cell
**VASP energy**: -5.649 eV per atom
**ΔE_f (raw)**: -1954 meV per atom

***

# Rb2LiCeCl6

Crystalline Rb2LiCeCl6 at its relaxed geometry (GGA-PBE, Alexandria).

a = 7.541 Å, b = 7.541 Å, c = 7.541 Å
α = 60.00°, β = 60.00°, γ = 60.00°
Atoms (fractional coordinates):
Rb  0.250  0.250  0.250
Rb  0.750  0.750  0.750
Li  0.000  0.000  0.000
Ce  0.500  0.500  0.500
Cl  0.243  0.243  0.757
Cl  0.243  0.757  0.243
Cl  0.243  0.757  0.757
Cl  0.757  0.243  0.243
Cl  0.757  0.243  0.757
Cl  0.757  0.757  0.243

Summary:
**Density of states at the Fermi level**: 8.2 states/eV per cell
**VASP energy**: -4.127 eV per atom
**ΔE_f (raw)**: -2041 meV per atom

***

# Rb3Li2CeCl9

Crystalline Rb3Li2CeCl9 at its relaxed geometry (GGA-PBE, Alexandria).

a = 7.539 Å, b = 7.539 Å, c = 13.466 Å
α = 90.00°, β = 90.00°, γ = 120.00°
Atoms (fractional coordinates):
Rb  0.000  0.000  0.000
Rb  0.333  0.667  0.165
Rb  0.667  0.333  0.835
Li  0.333  0.667  0.446
Li  0.667  0.333  0.554
Ce  0.000  0.000  0.500
Cl  0.000  0.500  0.000
Cl  0.168  0.336  0.383
Cl  0.168  0.832  0.383
Cl  0.336  0.168  0.617
Cl  0.500  0.000  0.000
Cl  0.500  0.500  0.000
Cl  0.664  0.832  0.383
Cl  0.832  0.168  0.617
Cl  0.832  0.664  0.617

Summary:
**Density of states at the Fermi level**: 7.0 states/eV per cell
**VASP energy**: -3.699 eV per atom
**ΔE_f (raw)**: -1747 meV per atom

***

# RbLi2CeCl6

Crystalline RbLi2CeCl6 at its relaxed geometry (GGA-PBE, Alexandria).

a = 6.777 Å, b = 6.779 Å, c = 8.814 Å
α = 67.43°, β = 67.43°, γ = 60.01°
Atoms (fractional coordinates):
Rb  0.000  0.000  0.000
Li  0.174  0.174  0.479
Li  0.826  0.827  0.521
Ce  0.500  0.500  0.500
Cl  0.092  0.787  0.683
Cl  0.215  0.561  0.316
Cl  0.439  0.092  0.684
Cl  0.562  0.908  0.317
Cl  0.787  0.439  0.683
Cl  0.909  0.213  0.316

Summary:
**Density of states at the Fermi level**: 8.2 states/eV per cell
**VASP energy**: -4.184 eV per atom
**ΔE_f (raw)**: -2003 meV per atom

***

# RbLiCeCl5

Crystalline RbLiCeCl5 at its relaxed geometry (GGA-PBE, Alexandria).

a = 7.710 Å, b = 7.710 Å, c = 10.354 Å
α = 103.84°, β = 103.84°, γ = 106.98°
Atoms (fractional coordinates):
Rb  0.152  0.848  0.750
Rb  0.848  0.152  0.250
Li  0.190  0.810  0.250
Li  0.810  0.190  0.750
Ce  0.500  0.500  0.000
Ce  0.500  0.500  0.500
Cl  0.122  0.257  0.918
Cl  0.192  0.593  0.384
Cl  0.257  0.122  0.418
Cl  0.407  0.808  0.116
Cl  0.417  0.583  0.750
Cl  0.583  0.417  0.250
Cl  0.593  0.192  0.884
Cl  0.743  0.878  0.582
Cl  0.808  0.407  0.616
Cl  0.878  0.743  0.082

Summary:
**Density of states at the Fermi level**: 16.7 states/eV per cell
**VASP energy**: -4.317 eV per atom
**ΔE_f (raw)**: -2061 meV per atom

***

# RbLiCe2Cl8

Crystalline RbLiCe2Cl8 at its relaxed geometry (GGA-PBE, Alexandria).

a = 6.723 Å, b = 8.750 Å, c = 6.853 Å
α = 90.00°, β = 96.64°, γ = 90.00°
Atoms (fractional coordinates):
Rb  0.000  0.000  0.000
Li  0.000  0.500  0.000
Ce  0.500  0.260  0.500
Ce  0.500  0.740  0.500
Cl  0.221  0.294  0.184
Cl  0.221  0.706  0.184
Cl  0.298  0.500  0.663
Cl  0.308  0.000  0.646
Cl  0.692  0.000  0.354
Cl  0.702  0.500  0.337
Cl  0.779  0.294  0.816
Cl  0.779  0.706  0.816

Summary:
**Density of states at the Fermi level**: 16.0 states/eV per cell
**VASP energy**: -4.525 eV per atom
**ΔE_f (raw)**: -2065 meV per atom

***

# Li2CeScCl8

Crystalline Li2CeScCl8 at its relaxed geometry (GGA-PBE, Alexandria).

a = 6.245 Å, b = 7.927 Å, c = 6.320 Å
α = 90.00°, β = 94.31°, γ = 90.00°
Atoms (fractional coordinates):
Li  0.000  0.238  0.000
Li  0.000  0.762  0.000
Ce  0.500  0.500  0.500
Sc  0.500  0.000  0.500
Cl  0.195  0.500  0.175
Cl  0.214  0.000  0.201
Cl  0.299  0.227  0.683
Cl  0.299  0.773  0.683
Cl  0.701  0.227  0.317
Cl  0.701  0.773  0.317
Cl  0.786  0.000  0.799
Cl  0.805  0.500  0.825

Summary:
**Density of states at the Fermi level**: 8.3 states/eV per cell
**VASP energy**: -4.571 eV per atom
**ΔE_f (raw)**: -1999 meV per atom

***

# LiCeSnCl6

Crystalline LiCeSnCl6 at its relaxed geometry (GGA-PBE, Alexandria).

a = 6.858 Å, b = 6.858 Å, c = 12.533 Å
α = 90.00°, β = 90.00°, γ = 120.00°
Atoms (fractional coordinates):
Li  0.333  0.667  0.250
Li  0.667  0.333  0.750
Ce  0.333  0.667  0.750
Ce  0.667  0.333  0.250
Sn  0.000  0.000  0.000
Sn  0.000  0.000  0.500
Cl  0.016  0.355  0.130
Cl  0.016  0.662  0.370
Cl  0.338  0.355  0.370
Cl  0.338  0.984  0.130
Cl  0.355  0.016  0.630
Cl  0.355  0.338  0.870
Cl  0.645  0.662  0.130
Cl  0.645  0.984  0.370
Cl  0.662  0.016  0.870
Cl  0.662  0.645  0.630
Cl  0.984  0.338  0.630
Cl  0.984  0.645  0.870

Summary:
**Density of states at the Fermi level**: 16.6 states/eV per cell
**VASP energy**: -4.240 eV per atom
**ΔE_f (raw)**: -1692 meV per atom

***

# Li2CeSnCl8

Crystalline Li2CeSnCl8 at its relaxed geometry (GGA-PBE, Alexandria).

a = 6.607 Å, b = 6.836 Å, c = 8.545 Å
α = 106.70°, β = 90.13°, γ = 101.43°
Atoms (fractional coordinates):
Li  0.045  0.359  0.328
Li  0.955  0.641  0.672
Ce  0.500  0.000  0.000
Sn  0.500  0.000  0.500
Cl  0.116  0.727  0.448
Cl  0.139  0.747  0.935
Cl  0.371  0.223  0.285
Cl  0.386  0.214  0.815
Cl  0.614  0.786  0.185
Cl  0.629  0.777  0.715
Cl  0.861  0.253  0.065
Cl  0.884  0.273  0.552

Summary:
**Density of states at the Fermi level**: 0.4 states/eV per cell
**VASP energy**: -4.029 eV per atom
**ΔE_f (raw)**: -1651 meV per atom

***

# SrLi2CeCl8

Crystalline SrLi2CeCl8 at its relaxed geometry (GGA-PBE, Alexandria).

a = 6.242 Å, b = 6.257 Å, c = 8.770 Å
α = 89.92°, β = 89.93°, γ = 85.44°
Atoms (fractional coordinates):
Sr  0.000  0.000  0.000
Li  0.499  0.499  0.188
Li  0.501  0.501  0.812
Ce  0.000  0.000  0.500
Cl  0.217  0.794  0.270
Cl  0.217  0.794  0.730
Cl  0.273  0.284  0.499
Cl  0.306  0.317  0.000
Cl  0.694  0.683  0.000
Cl  0.727  0.716  0.501
Cl  0.783  0.206  0.270
Cl  0.783  0.206  0.730

Summary:
**VASP energy**: -4.175 eV per atom
**ΔE_f (raw)**: -1990 meV per atom

***

# LiCeTlCl6

Crystalline LiCeTlCl6 at its relaxed geometry (GGA-PBE, Alexandria).

a = 6.843 Å, b = 6.843 Å, c = 14.052 Å
α = 90.00°, β = 90.00°, γ = 120.00°
Atoms (fractional coordinates):
Li  0.333  0.667  0.250
Li  0.667  0.333  0.750
Ce  0.333  0.667  0.750
Ce  0.667  0.333  0.250
Tl  0.000  0.000  0.000
Tl  0.000  0.000  0.500
Cl  0.003  0.372  0.144
Cl  0.003  0.631  0.356
Cl  0.369  0.372  0.356
Cl  0.369  0.997  0.144
Cl  0.372  0.003  0.644
Cl  0.372  0.369  0.856
Cl  0.628  0.631  0.144
Cl  0.628  0.997  0.356
Cl  0.631  0.003  0.856
Cl  0.631  0.628  0.644
Cl  0.997  0.369  0.644
Cl  0.997  0.628  0.856

Summary:
**VASP energy**: -4.103 eV per atom
**ΔE_f (raw)**: -1737 meV per atom

***

# LiCe2TlCl8

Crystalline LiCe2TlCl8 at its relaxed geometry (GGA-PBE, Alexandria).

a = 6.655 Å, b = 8.697 Å, c = 6.813 Å
α = 90.00°, β = 96.17°, γ = 90.00°
Atoms (fractional coordinates):
Li  0.000  0.000  0.000
Ce  0.500  0.241  0.500
Ce  0.500  0.759  0.500
Tl  0.000  0.500  0.000
Cl  0.222  0.209  0.180
Cl  0.222  0.791  0.180
Cl  0.293  0.000  0.663
Cl  0.302  0.500  0.646
Cl  0.698  0.500  0.354
Cl  0.707  0.000  0.337
Cl  0.778  0.209  0.820
Cl  0.778  0.791  0.820

Summary:
**Density of states at the Fermi level**: 16.5 states/eV per cell
**VASP energy**: -4.483 eV per atom
**ΔE_f (raw)**: -1906 meV per atom

***

# Li2CeYCl8

Crystalline Li2CeYCl8 at its relaxed geometry (GGA-PBE, Alexandria).

a = 6.300 Å, b = 8.183 Å, c = 6.356 Å
α = 90.00°, β = 93.52°, γ = 90.00°
Atoms (fractional coordinates):
Li  0.000  0.242  0.000
Li  0.000  0.758  0.000
Ce  0.500  0.500  0.500
Y  0.500  0.000  0.500
Cl  0.194  0.500  0.181
Cl  0.202  0.000  0.191
Cl  0.296  0.240  0.690
Cl  0.296  0.760  0.690
Cl  0.704  0.240  0.310
Cl  0.704  0.760  0.310
Cl  0.798  0.000  0.809
Cl  0.806  0.500  0.819

Summary:
**Density of states at the Fermi level**: 8.4 states/eV per cell
**VASP energy**: -4.641 eV per atom
**ΔE_f (raw)**: -2057 meV per atom

***

# CeLuCl

Crystalline CeLuCl at its relaxed geometry (GGA-PBE, Alexandria).

a = 3.517 Å, b = 3.517 Å, c = 7.332 Å
α = 90.00°, β = 90.00°, γ = 120.00°
Atoms (fractional coordinates):
Ce  0.000  0.000  0.000
Lu  0.667  0.333  0.623
Cl  0.333  0.667  0.346

Summary:
**Density of states at the Fermi level**: 6.4 states/eV per cell
**VASP energy**: -4.916 eV per atom
**ΔE_f (raw)**: -816 meV per atom

***

# CeLuCl2

Crystalline CeLuCl2 at its relaxed geometry (GGA-PBE, Alexandria).

a = 9.638 Å, b = 9.638 Å, c = 9.638 Å
α = 21.55°, β = 21.55°, γ = 21.55°
Atoms (fractional coordinates):
Ce  0.000  0.000  0.000
Lu  0.500  0.500  0.500
Cl  0.407  0.407  0.407
Cl  0.593  0.593  0.593

Summary:
**Density of states at the Fermi level**: 5.9 states/eV per cell
**VASP energy**: -4.822 eV per atom
**ΔE_f (raw)**: -1285 meV per atom

***

# CeMg2Cl6

Crystalline CeMg2Cl6 at its relaxed geometry (GGA-PBE, Alexandria).

a = 7.341 Å, b = 7.341 Å, c = 7.341 Å
α = 57.42°, β = 57.42°, γ = 57.42°
Atoms (fractional coordinates):
Ce  0.000  0.000  0.000
Mg  0.177  0.177  0.177
Mg  0.359  0.359  0.359
Cl  0.135  0.396  0.745
Cl  0.264  0.985  0.540
Cl  0.396  0.745  0.135
Cl  0.540  0.264  0.985
Cl  0.745  0.135  0.396
Cl  0.985  0.540  0.264

Summary:
**Density of states at the Fermi level**: 8.4 states/eV per cell
**VASP energy**: -4.008 eV per atom
**ΔE_f (raw)**: -1763 meV per atom

***

# CeMg2Cl8

Crystalline CeMg2Cl8 at its relaxed geometry (GGA-PBE, Alexandria).

a = 8.978 Å, b = 8.978 Å, c = 6.580 Å
α = 94.77°, β = 94.77°, γ = 45.14°
Atoms (fractional coordinates):
Ce  0.000  0.000  0.000
Mg  0.161  0.161  0.447
Mg  0.839  0.839  0.553
Cl  0.133  0.133  0.800
Cl  0.173  0.681  0.737
Cl  0.291  0.291  0.380
Cl  0.319  0.827  0.263
Cl  0.681  0.173  0.737
Cl  0.709  0.709  0.620
Cl  0.827  0.319  0.263
Cl  0.867  0.867  0.200

Summary:
**Density of states at the Fermi level**: 5.0 states/eV per cell
**VASP energy**: -3.940 eV per atom
**ΔE_f (raw)**: -1768 meV per atom

***

# Ce2MgCl8

Crystalline Ce2MgCl8 at its relaxed geometry (GGA-PBE, Alexandria).

a = 8.423 Å, b = 8.423 Å, c = 6.999 Å
α = 109.52°, β = 109.52°, γ = 56.71°
Atoms (fractional coordinates):
Ce  0.127  0.127  0.067
Ce  0.873  0.873  0.933
Mg  0.000  0.000  0.500
Cl  0.176  0.176  0.729
Cl  0.183  0.768  0.752
Cl  0.232  0.817  0.248
Cl  0.306  0.306  0.303
Cl  0.694  0.694  0.697
Cl  0.768  0.183  0.752
Cl  0.817  0.232  0.248
Cl  0.824  0.824  0.271

Summary:
**Density of states at the Fermi level**: 10.3 states/eV per cell
**VASP energy**: -4.520 eV per atom
**ΔE_f (raw)**: -1953 meV per atom

***

# CeMgCl

Crystalline CeMgCl at its relaxed geometry (GGA-PBE, Alexandria).

a = 3.478 Å, b = 3.478 Å, c = 15.382 Å
α = 90.00°, β = 90.00°, γ = 120.00°
Atoms (fractional coordinates):
Ce  0.000  0.000  0.187
Ce  0.000  0.000  0.813
Mg  0.667  0.333  0.000
Mg  0.667  0.333  0.500
Cl  0.667  0.333  0.320
Cl  0.667  0.333  0.680

Summary:
**Density of states at the Fermi level**: 11.4 states/eV per cell
**VASP energy**: -3.854 eV per atom
**ΔE_f (raw)**: -729 meV per atom